#i
Here is crystalline Co3HgPb at its relaxed geometry from the Alexandria database. Energies are from PBE.

Unit cell a=4.863 b=4.863 c=4.863 alpha=90.00 beta=90.00 gamma=90.00
Last column: magnetic moment on the atom in μB.
Atoms (fractional coordinates):
1 Pb 0.000 0.000 0.000  -0.07
2 Co 0.000 0.500 0.000  1.75
3 Co 0.000 0.000 0.500  1.58
4 Co 0.500 0.000 0.000  1.90
5 Hg 0.500 0.500 0.500  0.01

Calculated values
The magnetization is 1.024 μB per atom. The density comes out at 8.443 g cm⁻³.

#ii
Here is crystalline Co3HgPb at its relaxed geometry from the Alexandria database. Energies are from PBE.

Unit cell a=4.802 b=4.802 c=4.802 alpha=90.00 beta=90.00 gamma=90.00
Last column: magnetic moment on the atom in μB.
Atoms (fractional coordinates):
1 Pb 0.500 0.500 0.500  -0.05
2 Co 0.000 0.500 0.000  1.85
3 Co 0.000 0.000 0.500  1.95
4 Co 0.500 0.000 0.000  1.42
5 Hg 0.000 0.000 0.000  -0.05

Calculated values
The magnetization is 0.999 μB per atom. The density comes out at 8.769 g cm⁻³.

Here are the energies relative to the best structure, in kJ/mol of atoms: #i 11.4; #ii 0.0.

#i
Here is crystalline Co2HgPd2 at its relaxed geometry from the Alexandria database. Energies are from PBE.

Unit cell a=3.296 b=3.296 c=7.660 alpha=77.58 beta=77.58 gamma=90.00
Last column: magnetic moment on the atom in μB.
Atoms (fractional coordinates):
1 Co 0.750 0.250 0.500  1.87
2 Co 0.250 0.750 0.500  1.87
3 Hg 0.000 0.000 0.000  -0.01
4 Pd 0.389 0.389 0.221  0.12
5 Pd 0.611 0.611 0.779  0.12

Calculated values
The magnetization is 0.777 μB per atom. The density comes out at 11.128 g cm⁻³.

#ii
Here is crystalline Co2HgPd2 at its relaxed geometry from the Alexandria database. Energies are from PBE.

Unit cell a=7.368 b=7.368 c=2.812 alpha=90.00 beta=90.00 gamma=90.00
Last column: magnetic moment on the atom in μB.
Atoms (fractional coordinates):
1 Co 0.390 0.890 0.000  1.91
2 Co 0.890 0.610 0.000  1.96
3 Co 0.610 0.110 0.000  1.91
4 Co 0.110 0.390 0.000  1.96
5 Hg 0.000 0.000 0.000  0.00
6 Hg 0.500 0.500 0.000  0.00
7 Pd 0.182 0.682 0.500  0.28
8 Pd 0.682 0.818 0.500  0.28
9 Pd 0.818 0.318 0.500  0.28
10 Pd 0.318 0.182 0.500  0.28

Calculated values
The magnetization is 0.871 μB per atom. The density comes out at 11.558 g cm⁻³.

Here are the energies relative to the best structure, in kJ/mol of atoms: #i 2.2; #ii 0.0.

#i
Here is crystalline Pm3Co2Hg at its relaxed geometry from the Alexandria database. Energies are from PBE.

Unit cell a=3.911 b=7.981 c=9.596 alpha=90.00 beta=90.00 gamma=90.00
Last column: magnetic moment on the atom in μB.
Atoms (fractional coordinates):
1 Pm 0.500 0.144 0.127  -0.05
2 Pm 0.500 0.216 0.731  -0.09
3 Pm 0.000 0.338 0.422  -0.11
4 Pm 0.500 0.644 0.873  -0.05
5 Pm 0.500 0.716 0.269  -0.09
6 Pm 0.000 0.838 0.578  -0.11
7 Co 0.000 0.990 0.315  0.83
8 Co 0.500 0.052 0.420  0.88
9 Co 0.000 0.490 0.685  0.83
10 Co 0.500 0.552 0.580  0.88
11 Hg 0.000 0.962 0.913  0.00
12 Hg 0.000 0.462 0.087  0.00

Calculated values
The magnetization is 0.210 μB per atom. The density comes out at 8.353 g cm⁻³.

#ii
Here is crystalline Pm3Co2Hg at its relaxed geometry from the Alexandria database. Energies are from PBE.

Unit cell a=3.487 b=3.487 c=11.264 alpha=90.00 beta=90.00 gamma=90.00
Last column: magnetic moment on the atom in μB.
Atoms (fractional coordinates):
1 Pm 0.000 0.000 0.000  -0.16
2 Pm 0.000 0.000 0.697  -0.12
3 Pm 0.000 0.000 0.303  -0.12
4 Co 0.500 0.500 0.843  0.89
5 Co 0.500 0.500 0.157  0.89
6 Hg 0.500 0.500 0.500  0.00

Calculated values
The magnetization is 0.176 μB per atom. The density comes out at 9.136 g cm⁻³.

Here are the energies relative to the best structure, in kJ/mol of atoms: #i 0.0; #ii 1.9.

#i
Here is crystalline Pr2CoHg at its relaxed geometry from the Alexandria database. Energies are from PBE.

Unit cell a=3.967 b=3.967 c=8.418 alpha=76.37 beta=76.37 gamma=60.00
Atoms (fractional coordinates):
1 Pr 0.732 0.732 0.804
2 Pr 0.268 0.268 0.196
3 Co 0.000 0.000 0.000
4 Hg 0.500 0.500 0.500

Calculated values
The magnetization is 0.000 μB per atom. The density comes out at 8.141 g cm⁻³.

#ii
Here is crystalline Pr2CoHg at its relaxed geometry from the Alexandria database. Energies are from PBE.

Unit cell a=3.584 b=3.584 c=7.853 alpha=90.00 beta=90.00 gamma=90.00
Last column: magnetic moment on the atom in μB.
Atoms (fractional coordinates):
1 Pr 0.000 0.000 0.782  -0.10
2 Pr 0.000 0.000 0.218  -0.10
3 Co 0.500 0.500 0.000  1.11
4 Hg 0.500 0.500 0.500  0.01

Calculated values
The magnetization is 0.182 μB per atom. The density comes out at 8.913 g cm⁻³.

Here are the energies relative to the best structure, in kJ/mol of atoms: #i 1.3; #ii 0.0.

#i
Here is crystalline Pr2CoHg at its relaxed geometry from the Alexandria database. Energies are from PBE.

Unit cell a=5.248 b=5.248 c=5.248 alpha=60.00 beta=60.00 gamma=60.00
Last column: magnetic moment on the atom in μB.
Atoms (fractional coordinates):
1 Pr 0.250 0.250 0.250  -0.15
2 Pr 0.750 0.750 0.750  -0.15
3 Co 0.000 0.000 0.000  1.26
4 Hg 0.500 0.500 0.500  -0.02

Calculated values
The magnetization is 0.159 μB per atom. The density comes out at 8.796 g cm⁻³.

#ii
Here is crystalline Pr2CoHg at its relaxed geometry from the Alexandria database. Energies are from PBE.

Unit cell a=4.050 b=4.050 c=8.195 alpha=75.70 beta=75.70 gamma=60.00
Atoms (fractional coordinates):
1 Pr 0.065 0.065 0.805
2 Pr 0.269 0.269 0.193
3 Co 0.666 0.666 0.003
4 Hg 0.500 0.500 0.499

Calculated values
The magnetization is 0.000 μB per atom. The density comes out at 8.058 g cm⁻³.

Here are the energies relative to the best structure, in kJ/mol of atoms: #i 5.4; #ii 0.0.

#i
Here is crystalline Pr5CoHg2 at its relaxed geometry from the Alexandria database. Energies are from PBE.

Unit cell a=5.578 b=8.610 c=12.628 alpha=90.00 beta=90.00 gamma=108.90
Atoms (fractional coordinates):
1 Pr 0.927 0.854 0.897
2 Pr 0.927 0.854 0.603
3 Pr 0.306 0.613 0.417
4 Pr 0.306 0.613 0.083
5 Pr 0.696 0.391 0.250
6 Pr 0.304 0.609 0.750
7 Pr 0.694 0.387 0.583
8 Pr 0.694 0.387 0.917
9 Pr 0.073 0.146 0.103
10 Pr 0.073 0.146 0.397
11 Co 0.807 0.613 0.750
12 Co 0.193 0.387 0.250
13 Hg 0.880 0.761 0.364
14 Hg 0.880 0.761 0.136
15 Hg 0.120 0.239 0.636
16 Hg 0.120 0.239 0.864

Calculated values
The magnetization is 0.000 μB per atom. The density comes out at 6.741 g cm⁻³.

#ii
Here is crystalline Pr5CoHg2 at its relaxed geometry from the Alexandria database. Energies are from PBE.

Unit cell a=4.858 b=8.265 c=11.823 alpha=90.00 beta=90.00 gamma=90.00
Atoms (fractional coordinates):
1 Pr 0.000 0.000 0.500
2 Pr 0.000 0.500 0.000
3 Pr 0.000 0.863 0.197
4 Pr 0.000 0.137 0.803
5 Pr 0.000 0.637 0.697
6 Pr 0.000 0.363 0.303
7 Pr 0.500 0.681 0.427
8 Pr 0.500 0.319 0.573
9 Pr 0.500 0.819 0.927
10 Pr 0.500 0.181 0.073
11 Co 0.000 0.500 0.500
12 Co 0.000 0.000 0.000
13 Hg 0.500 0.573 0.166
14 Hg 0.500 0.427 0.834
15 Hg 0.500 0.927 0.666
16 Hg 0.500 0.073 0.334

Calculated values
The magnetization is 0.000 μB per atom. The density comes out at 8.148 g cm⁻³.

Here are the energies relative to the best structure, in kJ/mol of atoms: #i 26.7; #ii 0.0.

#i
Here is crystalline Pr6CoHg at its relaxed geometry from the Alexandria database. Energies are from PBE.

Unit cell a=6.571 b=7.842 c=6.591 alpha=53.49 beta=80.91 gamma=74.60
Atoms (fractional coordinates):
1 Pr 0.776 0.555 0.624
2 Pr 0.776 0.180 0.376
3 Pr 0.224 0.820 0.624
4 Pr 0.224 0.445 0.376
5 Pr 0.655 0.773 0.000
6 Pr 0.345 0.227 0.000
7 Co 0.500 0.500 0.000
8 Hg 0.000 0.000 0.000

Calculated values
The magnetization is 0.000 μB per atom. The density comes out at 6.972 g cm⁻³.

#ii
Here is crystalline Pr6CoHg at its relaxed geometry from the Alexandria database. Energies are from PBE.

Unit cell a=10.386 b=10.386 c=8.355 alpha=124.29 beta=90.19 gamma=122.96
Atoms (fractional coordinates):
1 Pr 0.147 0.673 0.820
2 Pr 0.853 0.327 0.180
3 Pr 0.901 0.818 0.719
4 Pr 0.099 0.182 0.281
5 Pr 0.799 0.151 0.598
6 Pr 0.201 0.849 0.402
7 Pr 0.447 0.799 0.598
8 Pr 0.553 0.201 0.402
9 Pr 0.599 0.802 0.006
10 Pr 0.401 0.198 0.994
11 Pr 0.796 0.593 0.994
12 Pr 0.204 0.407 0.006
13 Co 0.000 0.500 0.000
14 Co 0.500 0.000 0.000
15 Hg 0.000 0.000 0.500
16 Hg 0.500 0.500 0.500

Calculated values
The magnetization is 0.000 μB per atom. The density comes out at 6.567 g cm⁻³.

Here are the energies relative to the best structure, in kJ/mol of atoms: #i 0.0; #ii 8.0.

#i
Here is crystalline Pr6Co2Hg at its relaxed geometry from the Alexandria database. Energies are from PBE.

Unit cell a=5.250 b=5.793 c=9.213 alpha=80.08 beta=90.00 gamma=116.95
Atoms (fractional coordinates):
1 Pr 0.966 0.932 0.846
2 Pr 0.706 0.412 0.160
3 Pr 0.294 0.588 0.840
4 Pr 0.663 0.326 0.620
5 Pr 0.337 0.674 0.380
6 Pr 0.034 0.068 0.154
7 Co 0.610 0.220 0.909
8 Co 0.390 0.780 0.091
9 Hg 0.000 0.000 0.500

Calculated values
The magnetization is 0.000 μB per atom. The density comes out at 7.886 g cm⁻³.

#ii
Here is crystalline Pr6Co2Hg at its relaxed geometry from the Alexandria database. Energies are from PBE.

Unit cell a=8.703 b=8.703 c=8.703 alpha=107.56 beta=112.72 gamma=108.18
Atoms (fractional coordinates):
1 Pr 0.534 0.819 0.714
2 Pr 0.466 0.181 0.286
3 Pr 0.105 0.819 0.286
4 Pr 0.895 0.181 0.714
5 Pr 0.797 0.029 0.232
6 Pr 0.203 0.971 0.768
7 Pr 0.203 0.435 0.232
8 Pr 0.797 0.565 0.768
9 Pr 0.687 0.325 0.012
10 Pr 0.313 0.675 0.988
11 Pr 0.313 0.325 0.638
12 Pr 0.687 0.675 0.362
13 Co 0.500 0.111 0.611
14 Co 0.500 0.889 0.389
15 Co 0.657 0.657 0.000
16 Co 0.343 0.343 0.000
17 Hg 0.000 0.500 0.500
18 Hg 0.000 0.000 0.000

Calculated values
The magnetization is 0.000 μB per atom. The density comes out at 7.635 g cm⁻³.

Here are the energies relative to the best structure, in kJ/mol of atoms: #i 7.1; #ii 0.0.

#i
Here is crystalline CoHg3Pt at its relaxed geometry from the Alexandria database. Energies are from PBE.

Unit cell a=5.240 b=5.240 c=5.240 alpha=90.00 beta=90.00 gamma=90.00
Last column: magnetic moment on the atom in μB.
Atoms (fractional coordinates):
1 Co 0.500 0.500 0.500  2.33
2 Hg 0.000 0.500 0.000  0.00
3 Hg 0.000 0.000 0.500  0.00
4 Hg 0.500 0.000 0.000  0.03
5 Pt 0.000 0.000 0.000  0.01

Calculated values
The magnetization is 0.511 μB per atom. The density comes out at 9.876 g cm⁻³.

#ii
Here is crystalline CoHg3Pt at its relaxed geometry from the Alexandria database. Energies are from PBE.

Unit cell a=4.884 b=4.884 c=4.884 alpha=90.00 beta=90.00 gamma=90.00
Last column: magnetic moment on the atom in μB.
Atoms (fractional coordinates):
1 Co 0.000 0.000 0.000  1.04
2 Hg 0.000 0.500 0.000  -0.01
3 Hg 0.000 0.000 0.500  -0.01
4 Hg 0.500 0.000 0.000  -0.03
5 Pt 0.500 0.500 0.500  0.03

Calculated values
The magnetization is 0.207 μB per atom. The density comes out at 12.194 g cm⁻³.

Here are the energies relative to the best structure, in kJ/mol of atoms: #i 0.0; #ii 6.0.

#i
Here is crystalline Pu2CoHg at its relaxed geometry from the Alexandria database. Energies are from PBE.

Unit cell a=3.234 b=3.234 c=8.297 alpha=90.00 beta=90.00 gamma=90.00
Last column: magnetic moment on the atom in μB.
Atoms (fractional coordinates):
1 Co 0.500 0.500 0.000  -1.05
2 Hg 0.500 0.500 0.500  0.01
3 Pu 0.000 0.000 0.796  5.37
4 Pu 0.000 0.000 0.204  5.37

Calculated values
The magnetization is 2.556 μB per atom. The density comes out at 14.304 g cm⁻³.

#ii
Here is crystalline Pu2CoHg at its relaxed geometry from the Alexandria database. Energies are from PBE.

Unit cell a=3.577 b=3.577 c=9.962 alpha=79.66 beta=79.66 gamma=60.00
Last column: magnetic moment on the atom in μB.
Atoms (fractional coordinates):
1 Co 0.500 0.500 0.500  -0.67
2 Hg 0.000 0.000 0.000  0.04
3 Pu 0.111 0.111 0.667  5.37
4 Pu 0.889 0.889 0.333  5.37

Calculated values
The magnetization is 2.747 μB per atom. The density comes out at 11.494 g cm⁻³.

Here are the energies relative to the best structure, in kJ/mol of atoms: #i 0.0; #ii 27.5.

#i
Here is crystalline RbTl2CoHg at its relaxed geometry from the Alexandria database. Energies are from PBE.

Unit cell a=5.745 b=5.745 c=6.537 alpha=90.00 beta=90.00 gamma=90.00
Last column: magnetic moment on the atom in μB.
Atoms (fractional coordinates):
1 Tl 0.000 0.500 0.000  -0.02
2 Tl 0.500 0.000 0.000  -0.02
3 Co 0.500 0.500 0.500  2.19
4 Hg 0.000 0.000 0.000  0.00
5 Rb 0.000 0.000 0.500  -0.01

Calculated values
The magnetization is 0.404 μB per atom. The density comes out at 5.801 g cm⁻³.

#ii
Here is crystalline RbTl2CoHg at its relaxed geometry from the Alexandria database. Energies are from PBE.

Unit cell a=5.142 b=5.142 c=5.333 alpha=90.00 beta=90.00 gamma=90.00
Atoms (fractional coordinates):
1 Tl 0.000 0.500 0.000
2 Tl 0.500 0.000 0.000
3 Co 0.000 0.000 0.000
4 Hg 0.000 0.000 0.500
5 Rb 0.500 0.500 0.500

Calculated values
The magnetization is 0.000 μB per atom. The density comes out at 8.876 g cm⁻³.

Here are the energies relative to the best structure, in kJ/mol of atoms: #i 82.2; #ii 0.0.

#i
Here is crystalline CoReHg2 at its relaxed geometry from the Alexandria database. Energies are from PBE.

Unit cell a=5.067 b=5.067 c=2.830 alpha=90.00 beta=90.00 gamma=110.69
Last column: magnetic moment on the atom in μB.
Atoms (fractional coordinates):
1 Co 0.000 0.500 0.500  1.82
2 Hg 0.000 0.000 0.000  0.01
3 Hg 0.500 0.500 0.000  0.01
4 Re 0.500 0.000 0.500  0.24

Calculated values
The magnetization is 0.522 μB per atom. The density comes out at 15.791 g cm⁻³.

#ii
Here is crystalline CoReHg2 at its relaxed geometry from the Alexandria database. Energies are from PBE.

Unit cell a=2.837 b=2.876 c=8.608 alpha=80.37 beta=90.00 gamma=90.00
Atoms (fractional coordinates):
1 Co 0.500 0.828 0.717
2 Hg 0.000 0.210 0.956
3 Hg 0.500 0.048 0.281
4 Re 0.000 0.414 0.546

Calculated values
The magnetization is 0.000 μB per atom. The density comes out at 15.499 g cm⁻³.

#iii
Here is crystalline CoReHg2 at its relaxed geometry from the Alexandria database. Energies are from PBE.

Unit cell a=9.350 b=9.350 c=9.350 alpha=17.93 beta=17.93 gamma=17.93
Last column: magnetic moment on the atom in μB.
Atoms (fractional coordinates):
1 Co 0.750 0.750 0.750  1.70
2 Hg 0.004 0.004 0.004  -0.01
3 Hg 0.496 0.496 0.496  -0.01
4 Re 0.250 0.250 0.250  0.09

Calculated values
The magnetization is 0.430 μB per atom. The density comes out at 15.864 g cm⁻³.

Here are the energies relative to the best structure, in kJ/mol of atoms: #i 43.3; #ii 0.0; #iii 35.9.